# LiV3O9 (GGA+U, relaxed)
# - total magnetic moment (μB per formula unit) = 2.1
# - final energy (eV/f.u.) = -88.78
data_LiV3O9
_chemical_formula_sum 'Li4 V12 O36'
_symmetry_space_group_name_H-M 'C 1 c 1'
_symmetry_Int_Tables_number 9
_symmetry_space_group_name_Hall 'C -2yc'
_cell_length_a 15.241
_cell_length_b 7.187
_cell_length_c 10.574
_cell_angle_alpha 90.00
_cell_angle_beta 131.06
_cell_angle_gamma 90.00
loop_
_atom_site_label
_atom_site_type_symbol
_atom_site_fract_x
_atom_site_fract_y
_atom_site_fract_z
Li1 Li 0.000 0.245 0.000
V1 V 0.146 0.142 0.825
V2 V 0.240 0.482 0.704
V3 V 0.381 0.110 0.680
O1 O 0.029 0.153 0.816
O2 O 0.096 0.011 0.174
O3 O 0.135 0.375 0.036
O4 O 0.180 0.359 0.779
O5 O 0.274 0.055 0.021
O6 O 0.301 0.317 0.653
O7 O 0.343 0.378 0.351
O8 O 0.452 0.015 0.875
O9 O 0.478 0.158 0.662



# Li3V5O14 (GGA+U, relaxed)
# - total magnetic moment (μB per formula unit) = 0.0
# - final energy (eV/f.u.) = -152.96
data_Li3V5O14
_chemical_formula_sum 'Li3 V5 O14'
_symmetry_space_group_name_H-M 'P 3 1 m'
_symmetry_Int_Tables_number 157
_symmetry_space_group_name_Hall 'P 3 -2'
_cell_length_a 8.7293
_cell_length_b 8.7293
_cell_length_c 4.9946
_cell_angle_alpha 90.00
_cell_angle_beta 90.00
_cell_angle_gamma 120.00
loop_
_atom_site_label
_atom_site_type_symbol
_atom_site_fract_x
_atom_site_fract_y
_atom_site_fract_z
Li1 Li 0.0000 0.5868 0.0000
V1 V 0.0000 0.2228 0.2429
V2 V 0.3333 0.6667 0.2837
O1 O 0.0000 0.2189 0.5661
O2 O 0.0000 0.8189 0.1398
O3 O 0.1618 0.4680 0.1449
O4 O 0.3333 0.6667 0.6122